Entry 1:
Density functional theory data (GGA-PBE) for TmSi2Pt4Rh after structural relaxation.

The value obtained for the total energy is -51.98 eV per cell. The total magnetization comes out at 0.0000 μB per atom. For the density of states at the Fermi level, the calculation gives 2.1 states/eV per cell. The value obtained for the volume is 142 Å³/cell.

The structure belongs to space group P4/mmm (No. 123); the cell edges are 3.919, 3.919 and 9.240 Å and the angles 90.00°, 90.00° and 90.00°. The distinct sites, in fractional coordinates, are Tm at (0.000, 0.000, 0.000), Si at (0.500, 0.500, 0.378), Pt at (0.000, 0.500, 0.235) and Rh at (0.000, 0.000, 0.500).

Entry 2:
Density functional theory data (GGA-PBE) for BaNa8 after structural relaxation.

The value obtained for the total energy is -24.24 eV per cell. The total magnetization comes out at 0.0000 μB per atom. For the density of states at the Fermi level, the calculation gives 12.9 states/eV per cell. The calculation puts the energy of formation at 0.039 eV per atom. The value obtained for the volume is 740 Å³/cell.

The structure belongs to space group I4/mmm (No. 139); the cell edges are 11.560, 11.560 and 5.534 Å and the angles 90.00°, 90.00° and 90.00°. The distinct sites, in fractional coordinates, are Ba at (0.000, 0.000, 0.000), Na at (0.000, 0.344, 0.000) and Na at (0.180, 0.180, 0.500).

Entry 3:
Density functional theory data (GGA-PBE) for Zn2BrN after structural relaxation.

The value obtained for the total energy is -13.55 eV per cell. The total magnetization comes out at 0.0000 μB per atom. For the density of states at the Fermi level, the calculation gives 0.0 states/eV per cell. The value obtained for the volume is 72 Å³/cell.

The structure belongs to space group P-4m2 (No. 115); the cell edges are 3.571, 3.571 and 5.665 Å and the angles 90.00°, 90.00° and 90.00°. The distinct sites, in fractional coordinates, are Zn at (0.000, 0.500, 0.147), Br at (0.000, 0.000, 0.500) and N at (0.500, 0.500, 0.000).

Entry 4:
Density functional theory data (GGA-PBE) for BaBe2Cd after structural relaxation.

The value obtained for the total energy is -9.13 eV per cell. The total magnetization comes out at 0.0000 μB per atom. For the density of states at the Fermi level, the calculation gives 1.7 states/eV per cell. The calculation puts the energy of formation at 0.291 eV per atom. The value obtained for the volume is 98 Å³/cell.

The structure belongs to space group Pm (No. 6); the cell edges are 4.345, 4.087 and 5.911 Å and the angles 90.00°, 111.37° and 90.00°. The distinct sites, in fractional coordinates, are Ba at (0.000, 0.000, 0.000), Be at (0.291, 0.000, 0.576), Be at (0.322, 0.500, 0.643) and Cd at (0.727, 0.500, 0.452).

Entry 5:
Density functional theory data (GGA-PBE) for Ta2GeAuCl after structural relaxation.

The value obtained for the total energy is -27.15 eV per cell. The total magnetization comes out at 0.1343 μB per atom. For the density of states at the Fermi level, the calculation gives 6.6 states/eV per cell. The value obtained for the volume is 115 Å³/cell.

The structure belongs to space group P4/mmm (No. 123); the cell edges are 4.913, 4.913 and 4.748 Å and the angles 90.00°, 90.00° and 90.00°. The distinct sites, in fractional coordinates, are Ta at (0.000, 0.500, 0.000), Ge at (0.000, 0.000, 0.000), Au at (0.000, 0.000, 0.500) and Cl at (0.500, 0.500, 0.500).

Entry 6:
Density functional theory data (GGA-PBE) for In2HgRu2 after structural relaxation.

The value obtained for the total energy is -47.19 eV per cell. The total magnetization comes out at 0.0000 μB per atom. For the density of states at the Fermi level, the calculation gives 3.0 states/eV per cell. The calculation puts the energy of formation at 0.148 eV per atom. The value obtained for the volume is 188 Å³/cell.

The structure belongs to space group P4/mbm (No. 127); the cell edges are 7.310, 7.310 and 3.513 Å and the angles 90.00°, 90.00° and 90.00°. The distinct sites, in fractional coordinates, are In at (0.158, 0.342, 0.000), Hg at (0.000, 0.000, 0.500) and Ru at (0.140, 0.640, 0.500).